# Y3TmZn2

A relaxed Y3TmZn2 crystal (PBE-GGA, the Alexandria database).

```
12
Lattice="-3.445 2.243 2.907 -4.727 -1.265 -4.625 -1.793 -7.945 4.006" Properties=species:S:1:pos:R:3 pbc="T T T"
Tm -2.592 -2.419 3.155
Tm -5.160 -3.956 1.298
Y -3.985 -8.115 1.539
Y -4.756 -1.690 -4.332
Y -3.989 -5.631 3.979
Y -5.129 -6.372 -1.161
Y -2.157 -3.043 -0.208
Y -5.193 -1.126 -0.924
Zn -4.294 -3.754 -2.192
Zn -3.054 -0.362 1.020
Zn -2.473 -5.522 1.331
Zn -6.669 -6.541 1.504
```

Summary:
* total energy: -0.171 Ha/atom
* magnetic moment: 0.00 μB/f.u.
* energy relative to the lowest polymorph listed for this composition: 0 meV/atom
* E_form: -5.662 kcal/mol of atoms

***

# Sm6ScSe8

A relaxed Sm6ScSe8 crystal (PBE-GGA, the Alexandria database).

```
15
Lattice="-0.980 -4.935 -6.580 5.998 -5.301 -2.131 -1.101 -8.142 1.056" Properties=species:S:1:pos:R:3 pbc="T T T"
Sm -0.550 -4.071 0.528
Sm -1.040 -6.539 -2.762
Sm 2.448 -6.722 -0.537
Sm -0.490 -2.468 -3.290
Sm 2.509 -5.118 -4.356
Sm 2.999 -2.651 -1.065
Se -0.133 -11.203 -4.706
Se 0.979 -4.595 -1.914
Se 3.543 -9.732 -6.357
Se 0.437 -6.986 -5.253
Se 4.050 -7.176 -2.949
Se 0.374 -8.647 -1.298
Se 3.480 -11.392 -2.402
Se 2.938 -13.784 -5.741
Sc 0.000 0.000 0.000
```

Summary:
* total energy: -0.221 Ha/atom
* magnetic moment: 0.00 μB/f.u.
* ΔE_f (raw): -1838 meV per atom

***

# CePr2Ir

A relaxed CePr2Ir crystal (PBE-GGA, the Alexandria database).

```
16
Lattice="-2.981 4.986 -3.154 -6.196 -3.733 -0.045 -2.507 4.056 8.780" Properties=species:S:1:pos:R:3 pbc="T T T"
Pr -5.892 5.232 2.330
Pr -4.867 -1.421 0.011
Pr -6.817 6.729 5.570
Pr -3.176 2.749 2.764
Pr -8.508 2.560 2.817
Pr -5.792 0.076 3.251
Pr -2.251 1.252 -0.477
Pr -9.433 4.057 6.057
Ir -3.011 -0.217 2.083
Ir -8.673 5.525 3.498
Ir -4.265 5.202 4.906
Ir -7.419 0.107 0.674
Ce -3.390 5.045 -0.456
Ce -5.732 3.027 5.492
Ce -8.294 0.264 6.037
Ce -5.952 2.282 0.089
```

Summary:
* total energy: -0.239 Ha/atom
* magnetic moment: 0.76 μB/f.u.
* energy relative to the lowest polymorph listed for this composition: 0 meV/atom
* E_form: -9.599 kcal/mol of atoms

***

# Na2GaP2

A relaxed Na2GaP2 crystal (PBE-GGA, the Alexandria database).

```
10
Lattice="-0.203 2.074 3.547 -4.140 -2.574 3.654 4.893 -6.345 6.376" Properties=species:S:1:pos:R:3 pbc="T T T"
P -0.022 -0.594 2.732
P 0.572 -6.250 10.845
P -0.898 -2.199 8.392
P 1.449 -4.645 5.185
Na -2.675 -2.169 3.501
Na 3.225 -4.675 10.076
Na 0.205 -1.286 5.535
Na 0.345 -5.559 8.042
Ga 2.546 -3.339 6.870
Ga -1.996 -3.505 6.707
```

Summary:
* total energy: -0.129 Ha/atom
* magnetic moment: 0.00 μB/f.u.
* energy relative to the lowest polymorph listed for this composition: 52 meV/atom
* E_form: -4.958 kcal/mol of atoms

***

> Among the records above, which one has the highest magnetic moment?

CePr2Ir